Below is an optimized crystal structure of TaMoP2, with properties calculated at the PBE-GGA level.

Geometry as POSCAR:
```
TaMoP2
1.0
-7.2506 0.3278 -0.6124
-6.8492 -1.7191 1.7856
-6.7540 1.4099 2.3344
P Ta Mo
2 1 1
direct
0.0020 0.0020 0.0020
0.4980 0.4980 0.4980
0.2500 0.2500 0.2500
0.7500 0.7500 0.7500
```

Formation energy from the elements (eV/atom): -0.1749

=====

Below is an optimized crystal structure of TaMoP2, with properties calculated at the PBE-GGA level.

Geometry as POSCAR:
```
TaMoP2
1.0
-1.1774 -4.9682 5.9994
1.5533 -3.7693 6.7411
-1.0306 -2.2746 7.4717
P Ta Mo
2 1 1
direct
0.2520 0.2520 0.2520
0.0013 0.0013 0.0013
0.5054 0.5054 0.5054
0.7412 0.7412 0.7412
```

Formation energy from the elements (eV/atom): -0.1081

=====

Below is an optimized crystal structure of TaMoP2, with properties calculated at the PBE-GGA level.

Geometry as POSCAR:
```
TaMoP2
1.0
-2.9940 -0.0189 -0.5486
-0.2034 -2.7872 1.2064
-1.0354 2.4843 5.5651
P Ta Mo
2 1 1
direct
0.0000 0.0000 0.9895
0.0000 0.0000 0.5105
0.5000 0.5000 0.2500
0.5000 0.5000 0.7500
```

Formation energy from the elements (eV/atom): -0.4115

=====

Below is an optimized crystal structure of Ta2MoP, with properties calculated at the PBE-GGA level.

Geometry as POSCAR:
```
Ta2MoP
1.0
2.9279 0.0000 0.0000
0.0000 2.9279 0.0000
0.0000 0.0000 7.6371
Mo P Ta
1 1 2
direct
0.0000 0.0000 0.5529
0.5000 0.5000 0.7270
0.0000 0.0000 0.9567
0.5000 0.5000 0.2635
```

Formation energy from the elements (eV/atom): -0.0858

=====

Below is an optimized crystal structure of TaMo2P, with properties calculated at the PBE-GGA level.

Geometry as POSCAR:
```
TaMo2P
1.0
-1.5085 4.9645 5.4125
-5.1887 -4.6310 2.8016
-1.6466 -0.8751 5.5370
Mo P Ta
4 2 2
direct
0.5377 0.1250 0.2500
0.3750 0.4623 0.7500
0.2123 0.6250 0.2500
0.8750 0.7877 0.7500
0.5000 0.5000 0.0000
0.2500 0.7500 0.5000
0.0000 0.0000 0.0000
0.7500 0.2500 0.5000
```

Formation energy from the elements (eV/atom): 0.2064

=====

Below is an optimized crystal structure of TaMoP2, with properties calculated at the PBE-GGA level.

Geometry as POSCAR:
```
TaMoP2
1.0
3.2905 0.0000 0.0000
1.6453 2.8497 0.0000
1.6453 0.9499 6.5729
Mo Ta P
1 1 2
direct
0.5024 0.5024 0.4927
0.6652 0.6652 0.0044
0.0855 0.0855 0.7436
0.2469 0.2469 0.2593
```

Formation energy from the elements (eV/atom): -0.4922

=====

Below is an optimized crystal structure of Ta2MoP, with properties calculated at the PBE-GGA level.

Geometry as POSCAR:
```
Ta2MoP
1.0
3.3267 0.0000 0.0000
0.0000 3.3267 0.0000
0.0000 0.0000 5.8014
Mo Ta P
1 2 1
direct
0.5000 0.5000 0.0000
0.0000 0.0000 0.7377
0.0000 0.0000 0.2623
0.5000 0.5000 0.5000
```

Formation energy from the elements (eV/atom): -0.2592

=====

Below is an optimized crystal structure of TaMoP2, with properties calculated at the PBE-GGA level.

Geometry as POSCAR:
```
TaMoP2
1.0
-3.0676 -2.8630 1.3237
1.1147 -4.1611 0.8958
-0.0203 -1.4363 4.1589
P Mo Ta
2 1 1
direct
0.0000 0.0000 0.0000
0.7500 0.7500 0.7500
0.5000 0.5000 0.5000
0.2500 0.2500 0.2500
```

Formation energy from the elements (eV/atom): 0.1602